1.
This record from the Alexandria database describes crystalline TiZn2O4 at its relaxed geometry. The functional is GGA-PBEsol.

a b c (Å): 6.0096 6.0096 6.0096
angles (deg): 121.43 120.65 88.21
Fractional positions:
Ti  0.0000  0.0000  0.0000
Ti  0.5000  0.0000  0.5000
Zn  0.0000  0.0000  0.5000
Zn  0.0000  0.5000  0.0000
Zn  0.3887  0.6387  0.7500
Zn  0.6113  0.3613  0.2500
O  0.2124  0.2256  0.9868
O  0.2537  0.2284  0.4747
O  0.2537  0.7790  0.0253
O  0.2612  0.7744  0.4868
O  0.7388  0.2256  0.5132
O  0.7463  0.2210  0.9747
O  0.7463  0.7716  0.5253
O  0.7876  0.7744  0.0132

Computed properties:
- symmetry = Imma, No. 74
- crystal system = orthorhombic

=====

2.
This record from the Alexandria database describes crystalline Ti3Zn2O8 at its relaxed geometry. The functional is GGA-PBEsol.

a b c (Å): 5.9060 5.9060 9.3442
angles (deg): 90.00 90.00 120.00
Fractional positions:
Ti  0.1624  0.3249  0.0000
Ti  0.1624  0.8376  0.0000
Ti  0.3249  0.1624  0.5000
Ti  0.6751  0.8376  0.0000
Ti  0.8376  0.1624  0.5000
Ti  0.8376  0.6751  0.5000
Zn  0.3333  0.6667  0.3254
Zn  0.3333  0.6667  0.7140
Zn  0.6667  0.3333  0.2140
Zn  0.6667  0.3333  0.8254
O  0.0000  0.0000  0.3917
O  0.0000  0.0000  0.8917
O  0.0355  0.5177  0.8773
O  0.1625  0.3250  0.5998
O  0.1625  0.8375  0.5998
O  0.3250  0.1625  0.0998
O  0.3333  0.6667  0.1111
O  0.4823  0.5177  0.8773
O  0.4823  0.9645  0.8773
O  0.5177  0.0355  0.3773
O  0.5177  0.4823  0.3773
O  0.6667  0.3333  0.6111
O  0.6750  0.8375  0.5998
O  0.8375  0.1625  0.0998
O  0.8375  0.6750  0.0998
O  0.9645  0.4823  0.3773

Computed properties:
- symmetry = P6_3mc, No. 186
- crystal system = hexagonal

=====

3.
This record from the Alexandria database describes crystalline TiZn2O4 at its relaxed geometry. The functional is GGA-PBEsol.

a b c (Å): 10.2961 10.2961 6.0072
angles (deg): 90.13 90.13 71.28
Fractional positions:
Ti  0.0000  0.0000  0.0000
Ti  0.2449  0.5041  0.2386
Ti  0.4869  0.0092  0.4970
Ti  0.4959  0.7551  0.7614
Ti  0.5005  0.4995  0.5000
Ti  0.7427  0.0084  0.2496
Ti  0.9908  0.5131  0.5030
Ti  0.9916  0.2573  0.7504
Zn  0.1783  0.1935  0.2613
Zn  0.1839  0.6912  0.7539
Zn  0.2438  0.0060  0.7500
Zn  0.3051  0.3191  0.7451
Zn  0.3088  0.8161  0.2461
Zn  0.4915  0.0094  0.9975
Zn  0.4932  0.2558  0.2428
Zn  0.4972  0.5028  0.0000
Zn  0.6809  0.6949  0.2549
Zn  0.6820  0.1916  0.7557
Zn  0.7442  0.5068  0.7572
Zn  0.8065  0.8217  0.7387
Zn  0.8084  0.3180  0.2443
Zn  0.9906  0.5085  0.0025
Zn  0.9940  0.7562  0.2500
Zn  0.9970  0.0031  0.5000
O  0.1022  0.1341  0.9903
O  0.1033  0.3801  0.7390
O  0.1060  0.8920  0.7672
O  0.1080  0.8940  0.2328
O  0.1101  0.1319  0.5315
O  0.1200  0.6142  0.4906
O  0.1211  0.3957  0.2704
O  0.1241  0.6236  0.0300
O  0.3605  0.3888  0.0227
O  0.3683  0.6148  0.2660
O  0.3702  0.3963  0.4849
O  0.3764  0.8759  0.9700
O  0.3804  0.1189  0.2652
O  0.3827  0.1185  0.7326
O  0.3852  0.6317  0.7340
O  0.3858  0.8800  0.5094
O  0.6037  0.6298  0.5151
O  0.6043  0.8789  0.7296
O  0.6073  0.3929  0.2644
O  0.6071  0.3927  0.7356
O  0.6112  0.6395  0.9773
O  0.6199  0.8967  0.2610
O  0.6226  0.1136  0.4862
O  0.6226  0.1230  0.0258
O  0.8659  0.8978  0.0097
O  0.8684  0.1156  0.2354
O  0.8681  0.8899  0.4685
O  0.8770  0.3774  0.9742
O  0.8811  0.6196  0.7348
O  0.8815  0.6173  0.2674
O  0.8844  0.1316  0.7646
O  0.8864  0.3774  0.5138

Computed properties:
- symmetry = C2, No. 5
- crystal system = monoclinic

=====

4.
This record from the Alexandria database describes crystalline TiZn2O4 at its relaxed geometry. The functional is GGA-PBEsol.

a b c (Å): 5.9947 5.9947 8.3877
angles (deg): 90.00 90.00 90.00
Fractional positions:
Ti  0.0000  0.2613  0.0000
Ti  0.0000  0.7387  0.5000
Ti  0.2613  0.0000  0.7500
Ti  0.7387  0.0000  0.2500
Zn  0.2472  0.2472  0.3750
Zn  0.2472  0.7528  0.1250
Zn  0.2556  0.5000  0.7500
Zn  0.5000  0.2556  0.0000
Zn  0.5000  0.7444  0.5000
Zn  0.7444  0.5000  0.2500
Zn  0.7528  0.2472  0.6250
Zn  0.7528  0.7528  0.8750
O  0.0147  0.2341  0.7667
O  0.0147  0.7659  0.7333
O  0.2341  0.0147  0.9833
O  0.2341  0.9853  0.5167
O  0.2354  0.4756  0.0004
O  0.2354  0.5244  0.4996
O  0.4756  0.2354  0.7496
O  0.4756  0.7646  0.7504
O  0.5244  0.2354  0.2504
O  0.5244  0.7646  0.2496
O  0.7646  0.4756  0.9996
O  0.7646  0.5244  0.5004
O  0.7659  0.0147  0.0167
O  0.7659  0.9853  0.4833
O  0.9853  0.2341  0.2333
O  0.9853  0.7659  0.2667

Computed properties:
- symmetry = P4_122, No. 91
- crystal system = tetragonal

=====

no.,size of the total moment (μB per atom),relative energy among the computed polymorphs (eV/atom)
1,0.000,0.016
2,0.000,0.038
3,0.000,0.003
4,0.000,0.000